# Ni3SnF PBE with a Hubbard U relaxed
data_Ni3SnF
_chemical_formula_sum 'Ni3 Sn1 F1'
_cell_length_a 4.6756
_cell_length_b 4.6756
_cell_length_c 4.6756
_cell_angle_alpha 90.00
_cell_angle_beta 90.00
_cell_angle_gamma 90.00
_space_group_name_H-M_alt 'P m -3 m'
_space_group_IT_number 221
_space_group_name_Hall '-P 4 2 3'
loop_
_atom_site_label
_atom_site_type_symbol
_atom_site_fract_x
_atom_site_fract_y
_atom_site_fract_z
Ni1 Ni 0.0000 0.0000 0.5000
Sn1 Sn 0.0000 0.0000 0.0000
F1 F 0.5000 0.5000 0.5000
# D(E_F): 1.4938 states/eV/atom
# Polymorph energy (0 for the lowest one): 1547.9 meV per atom
# M_tot: 0.4 μB/f.u.